Record 1
The following is a DFT calculation (PBEsol) of a geometry-optimized BeMo2Os structure.

## Properties
The energy of formation from the pure elements comes out at 0.09 eV per atom.

Cell lengths 2.747, 4.208, 4.758 Å; angles 90.00, 97.26, 90.00 degrees
Space group Pm (No. 6)
Asymmetric unit:
Be (0.000, 0.000, 0.000) [1 per cell]
Mo (0.405, 0.000, 0.507) [1 per cell]
Mo (0.563, 0.500, 0.184) [1 per cell]
Os (0.992, 0.500, 0.709) [1 per cell]

Record 2
The following is a DFT calculation (PBEsol) of a geometry-optimized Cs3SiF7 structure.

## Properties
The uncorrected formation energy is -3114 meV per atom.

Cell lengths 8.211, 8.211, 6.110 Å; angles 90.00, 90.00, 90.00 degrees
Space group P4/mbm (No. 127)
Asymmetric unit:
Cs (0.000, 0.000, 0.000) [2 per cell]
Cs (0.194, 0.306, 0.500) [4 per cell]
Si (0.000, 0.500, 0.000) [2 per cell]
F (0.000, 0.000, 0.500) [2 per cell]
F (0.104, 0.604, 0.199) [8 per cell]
F (0.147, 0.353, 0.000) [4 per cell]

Record 3
The following is a DFT calculation (PBEsol) of a geometry-optimized Ba3Al2Si2 structure.

## Properties
The uncorrected formation energy is -373 meV per atom.

Cell lengths 4.263, 5.031, 19.882 Å; angles 90.00, 90.00, 90.00 degrees
Space group Immm (No. 71)
Asymmetric unit:
Ba (0.000, 0.000, 0.000) [2 per cell]
Ba (0.000, 0.500, 0.314) [4 per cell]
Al (0.000, 0.000, 0.434) [4 per cell]
Si (0.000, 0.500, 0.134) [4 per cell]

Record 4
The following is a DFT calculation (PBEsol) of a geometry-optimized Na5Ga3F14 structure.

## Properties
The uncorrected formation energy is -2756 meV per atom.

Cell lengths 7.293, 7.218, 12.598 Å; angles 90.00, 124.66, 90.00 degrees
Space group P2_1/c (No. 14)
Asymmetric unit:
Na (0.000, 0.000, 0.000) [2 per cell]
Na (0.013, 0.236, 0.738) [4 per cell]
Na (0.489, 0.695, 0.251) [4 per cell]
Ga (0.000, 0.000, 0.500) [2 per cell]
Ga (0.500, 0.000, 0.000) [2 per cell]
Ga (0.500, 0.000, 0.500) [2 per cell]
F (0.106, 0.661, 0.141) [4 per cell]
F (0.149, 0.206, 0.610) [4 per cell]
F (0.186, 0.503, 0.383) [4 per cell]
F (0.252, 0.581, 0.999) [4 per cell]
F (0.310, 0.052, 0.324) [4 per cell]
F (0.455, 0.565, 0.628) [4 per cell]
F (0.481, 0.247, 0.549) [4 per cell]